# PBE RbAl2Br, relaxed
# Energy relative to the elements, uncorrected: 462 meV per atom
# Calculated total energy: -2.069 eV/atom
# Distance to the lowest polymorph of the same formula: 587 meV/atom
# Total magnetization: 0.00 μB per atom
# V: 32.99 Å³/atom
data_RbAl2Br
_chemical_formula_sum 'Rb4 Al8 Br4'
_cell_length_a 8.082
_cell_length_b 8.082
_cell_length_c 8.082
_cell_angle_alpha 90.00
_cell_angle_beta 90.00
_cell_angle_gamma 90.00
_symmetry_space_group_name_H-M 'F m -3 m'
_symmetry_Int_Tables_number 225
_symmetry_space_group_name_Hall '-F 4 2 3'
loop_
_atom_site_label
_atom_site_type_symbol
_atom_site_fract_x
_atom_site_fract_y
_atom_site_fract_z
Rb1 Rb 0.000 0.000 0.000
Al1 Al 0.250 0.250 0.250
Br1 Br 0.000 0.000 0.500



# PBE RbAl2Br2, relaxed
# Energy relative to the elements, uncorrected: -617 meV per atom
# Calculated total energy: -2.977 eV/atom
# Distance to the lowest polymorph of the same formula: 0 meV/atom
# Total magnetization: 0.00 μB per atom
# V: 29.24 Å³/atom
data_RbAl2Br2
_chemical_formula_sum 'Rb2 Al4 Br4'
_cell_length_a 3.944
_cell_length_b 3.944
_cell_length_c 18.799
_cell_angle_alpha 90.00
_cell_angle_beta 90.00
_cell_angle_gamma 90.00
_symmetry_space_group_name_H-M 'I 4/m m m'
_symmetry_Int_Tables_number 139
_symmetry_space_group_name_Hall '-I 4 2'
loop_
_atom_site_label
_atom_site_type_symbol
_atom_site_fract_x
_atom_site_fract_y
_atom_site_fract_z
Rb1 Rb 0.000 0.000 0.000
Al1 Al 0.000 0.500 0.250
Br1 Br 0.000 0.000 0.389



# PBE RbAlBr2, relaxed
# Energy relative to the elements, uncorrected: -838 meV per atom
# Calculated total energy: -2.852 eV/atom
# Distance to the lowest polymorph of the same formula: 6 meV/atom
# Total magnetization: 0.00 μB per atom
# V: 32.45 Å³/atom
data_RbAlBr2
_chemical_formula_sum 'Rb4 Al4 Br8'
_cell_length_a 8.038
_cell_length_b 8.038
_cell_length_c 8.038
_cell_angle_alpha 90.00
_cell_angle_beta 90.00
_cell_angle_gamma 90.00
_symmetry_space_group_name_H-M 'F m -3 m'
_symmetry_Int_Tables_number 225
_symmetry_space_group_name_Hall '-F 4 2 3'
loop_
_atom_site_label
_atom_site_type_symbol
_atom_site_fract_x
_atom_site_fract_y
_atom_site_fract_z
Rb1 Rb 0.000 0.000 0.000
Al1 Al 0.000 0.000 0.500
Br1 Br 0.250 0.250 0.250



# PBE RbAlBr2, relaxed
# Energy relative to the elements, uncorrected: -795 meV per atom
# Calculated total energy: -2.809 eV/atom
# Distance to the lowest polymorph of the same formula: 50 meV/atom
# Total magnetization: 0.00 μB per atom
# V: 52.71 Å³/atom
data_RbAlBr2
_chemical_formula_sum 'Rb3 Al3 Br6'
_cell_length_a 5.1562
_cell_length_b 5.1562
_cell_length_c 27.4735
_cell_angle_alpha 90.00
_cell_angle_beta 90.00
_cell_angle_gamma 120.00
_symmetry_space_group_name_H-M 'R -3 m'
_symmetry_Int_Tables_number 166
_symmetry_space_group_name_Hall '-R 3 2"'
loop_
_atom_site_label
_atom_site_type_symbol
_atom_site_fract_x
_atom_site_fract_y
_atom_site_fract_z
Rb1 Rb 0.0000 0.0000 0.0000
Al1 Al 0.0000 0.0000 0.5000
Br1 Br 0.0000 0.0000 0.4009



The lowest distance to the lowest polymorph of the same formula belongs to which entry?
RbAl2Br2



energy relative to the elements, uncorrected of number 3 (RbAlBr2)?
-838 meV per atom